[1]
This record from the Alexandria database describes a relaxed CeYMgAg crystal. The functional is PBE.

Computed properties:
* uncorrected energy: -17.00 eV/f.u.
* DOS at the Fermi energy: 10.052 states/eV/f.u.

Lattice parameters (Å, degrees): 5.3158 5.3158 5.3158 60.00 60.00 60.00
Fractional positions:
Ce 0.0000 0.0000 0.0000
Y 0.5000 0.5000 0.5000
Mg 0.2500 0.2500 0.2500
Ag 0.7500 0.7500 0.7500

[2]
This record from the Alexandria database describes a relaxed AgSeBr2 crystal. The functional is PBE.

Computed properties:
* ΔE to the lowest computed polymorph: 0.229 eV/atom
* DOS at the Fermi energy: 1.574 states/eV/f.u.
* ΔE_f (raw): 0.073 eV per atom

Lattice parameters (Å, degrees): 8.4949 8.4949 3.9307 103.24 103.24 26.04
Fractional positions:
Ag 0.0000 0.0000 0.0000
Se 0.7053 0.7053 0.2030
Br 0.2269 0.2269 0.7245
Br 0.4789 0.4789 0.4789